[1]
# PBEsol YTeF3, optimized geometry
# ΔE_f (raw): -1.128 eV per atom
# symmetry: Pm-3m (221)
# final energy: -4.3537 eV/atom
# theoretical density: 4.49 g cm⁻³
data_YTeF3
_space_group_name_H-M_alt 'P 1'
_space_group_IT_number 1
_cell_length_a 4.658
_cell_length_b 4.658
_cell_length_c 4.658
_cell_angle_alpha 90.00
_cell_angle_beta 90.00
_cell_angle_gamma 90.00
loop_
_space_group_symop_operation_xyz
'x,y,z'
loop_
_atom_site_label
_atom_site_type_symbol
_atom_site_fract_x
_atom_site_fract_y
_atom_site_fract_z
_atom_site_occupancy
F1 F 0.000 0.500 0.500 1
F2 F 0.500 0.000 0.500 1
F3 F 0.500 0.500 0.000 1
Te1 Te 0.500 0.500 0.500 1
Y1 Y 0.000 0.000 0.000 1



[2]
# PBEsol K3Ni, optimized geometry
# symmetry: P4/mmm (123)
# final energy: -1.7904 eV/atom
# theoretical density: 1.65 g cm⁻³
# energy of formation from the pure elements: 2.40 eV/f.u.
data_K3Ni
_space_group_name_H-M_alt 'P 1'
_space_group_IT_number 1
_cell_length_a 3.978
_cell_length_b 3.978
_cell_length_c 11.219
_cell_angle_alpha 90.00
_cell_angle_beta 90.00
_cell_angle_gamma 90.00
loop_
_space_group_symop_operation_xyz
'x,y,z'
loop_
_atom_site_label
_atom_site_type_symbol
_atom_site_fract_x
_atom_site_fract_y
_atom_site_fract_z
_atom_site_occupancy
K1 K 0.500 0.500 0.843 1
K2 K 0.000 0.000 0.500 1
K3 K 0.500 0.500 0.157 1
Ni1 Ni 0.000 0.000 0.000 1



[3]
# PBEsol SbIr2Au, optimized geometry
# ΔE_f (raw): 0.387 eV per atom
# symmetry: R-3m (166)
# final energy: -6.6451 eV/atom
# theoretical density: 17.46 g cm⁻³
data_SbIr2Au
_space_group_name_H-M_alt 'P 1'
_space_group_IT_number 1
_cell_length_a 3.040
_cell_length_b 3.040
_cell_length_c 8.538
_cell_angle_alpha 79.75
_cell_angle_beta 79.75
_cell_angle_gamma 60.00
loop_
_space_group_symop_operation_xyz
'x,y,z'
loop_
_atom_site_label
_atom_site_type_symbol
_atom_site_fract_x
_atom_site_fract_y
_atom_site_fract_z
_atom_site_occupancy
Au1 Au 0.000 0.000 0.000 1
Ir1 Ir 0.246 0.246 0.261 1
Ir2 Ir 0.754 0.754 0.739 1
Sb1 Sb 0.500 0.500 0.500 1



Q: Among the records above, which one has the lowest final energy?
A: SbIr2Au



Q: Which of these has the highest theoretical density?
A: SbIr2Au



Q: Number 2 is which compound?
A: K3Ni